No. 1
Computed, not measured: a geometry-optimized Fe5Rh structure at the PBEsol level of DFT.

Geometry as POSCAR:
```
Fe5Rh
1.0
2.833 0.000 0.000
0.000 2.833 0.000
0.000 0.000 8.654
Fe Rh
5 1
Cartesian
0.000 0.000 0.000
0.000 0.000 2.759
0.000 0.000 5.895
1.417 1.417 1.384
1.417 1.417 7.270
1.417 1.417 4.327
```

Output
Energy above the lowest structure with this stoichiometry, eV/atom: 0.0008
Space group: No. 123
Magnetic moment, μB per cell: 13.00
DOS(E_F), states/eV/cell: 6.86
DFT formation energy, eV/f.u.: 0.22

***

No. 2
Computed, not measured: a geometry-optimized Fe4Rh5 structure at the PBEsol level of DFT.

Geometry as POSCAR:
```
Fe4Rh5
1.0
7.232 0.000 0.000
-3.616 6.263 0.000
0.000 0.000 5.088
Fe Rh
8 10
Cartesian
0.000 0.000 0.000
0.000 0.000 2.544
-1.221 2.115 1.272
-2.395 4.148 3.816
2.442 0.000 1.272
1.221 2.115 3.816
4.790 0.000 3.816
2.395 4.148 1.272
-1.173 2.032 3.816
-2.443 4.231 1.272
2.346 0.000 3.816
1.173 2.032 1.272
0.000 4.175 0.000
0.000 4.175 2.544
3.616 2.088 0.000
3.616 2.088 2.544
4.886 0.000 1.272
2.443 4.231 3.816
```

Output
Energy above the lowest structure with this stoichiometry, eV/atom: 0.0613
Space group: No. 193
Magnetic moment, μB per cell: 25.34
DOS(E_F), states/eV/cell: 27.62
DFT formation energy, eV/f.u.: 1.07

***

No. 3
Computed, not measured: a geometry-optimized Fe3Rh2 structure at the PBEsol level of DFT.

Geometry as POSCAR:
```
Fe3Rh2
1.0
-1.314 1.770 6.544
1.314 -1.770 6.544
1.314 1.770 -6.544
Fe Rh
3 2
Cartesian
0.000 0.000 0.000
0.000 0.000 5.270
0.000 0.000 7.818
0.000 0.000 2.542
0.000 0.000 10.547
```

Output
Energy above the lowest structure with this stoichiometry, eV/atom: 0.0401
Space group: No. 71
Magnetic moment, μB per cell: 7.42
DOS(E_F), states/eV/cell: 7.10
DFT formation energy, eV/f.u.: 0.44

***

No. 4
Computed, not measured: a geometry-optimized Fe5Rh structure at the PBEsol level of DFT.

Geometry as POSCAR:
```
Fe5Rh
1.0
4.527 -1.425 0.000
4.527 1.425 0.000
-1.792 0.000 5.417
Fe Rh
5 1
Cartesian
0.000 0.000 0.000
1.773 0.000 3.643
2.717 0.000 0.857
4.544 0.000 4.561
5.488 0.000 1.775
-0.896 0.000 2.709
```

Output
Energy above the lowest structure with this stoichiometry, eV/atom: 0.0000
Space group: No. 12
Magnetic moment, μB per cell: 13.36
DOS(E_F), states/eV/cell: 5.44
DFT formation energy, eV/f.u.: 0.22

***

No. 5
Computed, not measured: a geometry-optimized FeRh2 structure at the PBEsol level of DFT.

Geometry as POSCAR:
```
FeRh2
1.0
2.642 0.000 0.000
0.000 3.697 0.000
0.000 0.000 7.820
Fe Rh
2 4
Cartesian
0.660 0.924 0.642
1.981 2.773 7.178
0.660 0.924 3.233
0.660 0.924 5.976
1.981 2.773 1.844
1.981 2.773 4.587
```

Output
Space group: No. 59
Magnetic moment, μB per cell: 5.03
DOS(E_F), states/eV/cell: 8.85
DFT formation energy, eV/f.u.: 0.10

***

No. 6
Computed, not measured: a geometry-optimized FeRh2 structure at the PBEsol level of DFT.

Geometry as POSCAR:
```
FeRh2
1.0
6.722 -1.324 0.000
6.722 1.324 0.000
-1.398 0.000 4.293
Fe Rh
2 4
Cartesian
0.752 0.000 1.090
11.293 0.000 3.203
2.352 0.000 3.219
5.304 0.000 1.056
6.741 0.000 3.237
9.693 0.000 1.074
```

Output
Space group: No. 12
Magnetic moment, μB per cell: 5.06
DOS(E_F), states/eV/cell: 8.58
DFT formation energy, eV/f.u.: 0.06

***

No. 7
Computed, not measured: a geometry-optimized FeRh2 structure at the PBEsol level of DFT.

Geometry as POSCAR:
```
FeRh2
1.0
-1.325 1.325 5.403
1.325 -1.325 5.403
1.325 1.325 -5.403
Fe Rh
1 2
Cartesian
0.000 0.000 0.000
0.000 0.000 3.668
0.000 0.000 7.137
```

Output
Space group: No. 139
Magnetic moment, μB per cell: 2.18
DOS(E_F), states/eV/cell: 3.73
DFT formation energy, eV/f.u.: 0.03

***

No. 8
Computed, not measured: a geometry-optimized FeRh structure at the PBEsol level of DFT.

Geometry as POSCAR:
```
FeRh
1.0
2.596 0.000 0.000
-1.298 2.248 0.000
0.000 0.000 12.465
Fe Rh
3 3
Cartesian
0.000 0.000 0.000
0.000 1.499 1.920
1.298 0.749 10.545
0.000 0.000 6.232
0.000 1.499 8.476
1.298 0.749 3.989
```

Output
Space group: No. 164
Magnetic moment, μB per cell: 3.74
DOS(E_F), states/eV/cell: 8.87
DFT formation energy, eV/f.u.: 0.24